DFT (PBE-GGA) results for a relaxed BaPdAu crystal.

Cell lengths 4.985, 4.985, 4.985 Å; angles 60.00, 60.00, 60.00 degrees
Element x y z (fractional)
Ba (0.000, 0.000, 0.000)
Pd (0.750, 0.750, 0.750)
Au (0.500, 0.500, 0.500)

- symmetry = No. 216

DFT (PBE-GGA) results for a relaxed YInCu crystal.

Cell lengths 8.324, 8.324, 3.358 Å; angles 90.00, 90.00, 120.00 degrees
Element x y z (fractional)
Y (0.000, 0.298, 0.000)
Y (0.298, 0.000, 0.000)
Y (0.702, 0.702, 0.000)
In (0.000, 0.000, 0.500)
In (0.333, 0.667, 0.000)
In (0.667, 0.333, 0.000)
Cu (0.000, 0.639, 0.500)
Cu (0.361, 0.361, 0.500)
Cu (0.639, 0.000, 0.500)

- symmetry = No. 189
- total magnetization (μB/f.u.) = 0.37

no.,E_tot (eV per atom)
1,-3.8621
2,-4.2991